(1)
ScSbPd4: relaxed, GGA-PBE.

Cell and atoms, written as POSCAR:
```
ScSbPd4
1.0
-1.350 -0.921 4.503
1.186 -8.726 -1.430
4.310 0.235 2.142
Pd Sb Sc
8 2 2
direct
0.500 0.163 0.000
0.500 0.338 0.500
0.500 0.662 0.500
0.000 0.838 0.500
0.000 0.663 0.000
0.500 0.837 0.000
0.000 0.337 0.000
0.000 0.162 0.500
0.500 0.500 0.000
0.000 0.000 0.000
0.500 0.000 0.500
0.000 0.500 0.500
```

As for the formation energy from raw total energies: -680.1 meV/atom. As for the space group: C2/m (12). The calculation puts the raw total energy at -5.88 eV per atom. The crystal system is monoclinic.



(2)
CdSbI2: relaxed, GGA-PBE.

Cell and atoms, written as POSCAR:
```
CdSbI2
1.0
0.000 3.959 3.959
3.959 0.000 3.959
3.959 3.959 0.000
Sb Cd I
1 1 2
direct
0.500 0.500 0.500
0.000 0.000 0.000
0.750 0.750 0.750
0.250 0.250 0.250
```

As for the formation energy from raw total energies: 255.8 meV/atom. As for the space group: Fm-3m (225). The calculation puts the raw total energy at -1.78 eV per atom. The crystal system is cubic.



(3)
PmNp2TcN4: relaxed, GGA-PBE.

Cell and atoms, written as POSCAR:
```
PmNp2TcN4
1.0
3.349 0.000 0.000
-1.674 5.877 0.000
0.000 0.000 11.552
Tc Pm N Np
2 2 8 4
direct
0.150 0.300 0.250
0.850 0.700 0.750
0.111 0.223 0.750
0.889 0.777 0.250
0.542 0.084 0.250
0.269 0.539 0.117
0.731 0.461 0.617
0.458 0.916 0.750
0.000 0.000 0.000
0.269 0.539 0.383
0.000 0.000 0.500
0.731 0.461 0.883
0.369 0.738 0.550
0.369 0.738 0.950
0.631 0.262 0.450
0.631 0.262 0.050
```

As for the formation energy from raw total energies: -935.9 meV/atom. As for the space group: Cmcm (63). The calculation puts the raw total energy at -10.22 eV per atom. The crystal system is orthorhombic.



(4)
TbDyGa6: relaxed, GGA-PBE.

Cell and atoms, written as POSCAR:
```
TbDyGa6
1.0
-1.832 -2.867 3.083
5.698 -1.088 2.374
-3.500 4.677 2.270
Tb Ga Dy
1 6 1
direct
0.500 0.417 0.583
0.000 0.603 0.957
0.500 0.456 0.103
0.500 0.897 0.544
0.000 0.603 0.397
0.500 0.897 0.103
0.000 0.043 0.397
0.000 0.083 0.917
```

Its energy of formation from the pure elements is -539 meV/atom. As for the space group: P-6m2 (187). The calculation puts the raw total energy at -3.96 eV per atom. The crystal system is hexagonal.



(5)
Ac5NdAs6: relaxed, GGA-PBE.

Cell and atoms, written as POSCAR:
```
Ac5NdAs6
1.0
7.716 0.188 1.172
1.896 6.544 3.815
0.130 0.071 7.805
Ac As Nd
5 6 1
direct
0.500 0.833 0.335
0.000 0.666 0.667
0.500 0.500 0.000
0.500 0.167 0.665
0.000 0.334 0.333
0.755 0.082 0.326
0.245 0.593 0.326
0.246 0.243 0.000
0.754 0.757 0.000
0.755 0.407 0.674
0.245 0.918 0.674
0.000 0.000 0.000
```

Its energy of formation from the pure elements is -1477 meV/atom. As for the space group: C2/m (12). The calculation puts the raw total energy at -5.91 eV per atom. The crystal system is monoclinic.



(6)
Sm3Y2: relaxed, GGA-PBE.

Cell and atoms, written as POSCAR:
```
Sm3Y2
1.0
-5.960 1.462 1.218
-1.930 -5.888 -2.375
4.664 -1.000 7.957
Sm Y
6 4
direct
0.095 0.706 0.189
0.405 0.517 0.811
0.750 0.000 0.000
0.250 0.000 0.000
0.595 0.483 0.189
0.905 0.294 0.811
0.692 0.051 0.385
0.808 0.666 0.615
0.308 0.949 0.615
0.192 0.334 0.385
```

Its energy of formation from the pure elements is 133 meV/atom. As for the space group: Ibam (72). The calculation puts the raw total energy at -5.28 eV per atom. The crystal system is orthorhombic.



(7)
KMg2H6: relaxed, GGA-PBE.

Cell and atoms, written as POSCAR:
```
KMg2H6
1.0
3.223 0.000 0.000
1.612 5.522 -0.269
1.612 2.112 6.111
Mg H K
2 6 1
direct
0.848 0.153 0.150
0.152 0.847 0.850
0.261 0.321 0.157
0.014 0.815 0.157
0.739 0.679 0.843
0.986 0.185 0.843
0.742 0.025 0.492
0.258 0.975 0.508
0.000 0.500 0.500
```

As for the space group: C2/m (12). The calculation puts the raw total energy at -2.67 eV per atom. The crystal system is monoclinic.



(8)
MgAlPt2: relaxed, GGA-PBE.

Cell and atoms, written as POSCAR:
```
MgAlPt2
1.0
2.907 0.000 0.000
0.000 2.907 0.000
0.000 0.000 7.775
Al Pt Mg
1 2 1
direct
0.000 0.000 0.465
0.000 0.000 0.999
0.500 0.500 0.266
0.500 0.500 0.770
```

Its energy of formation from the pure elements is -533 meV/atom. As for the space group: P4mm (99). The calculation puts the raw total energy at -4.89 eV per atom. The crystal system is tetragonal.



- The highest raw total energy belongs to which entry?
  CdSbI2